1.
First-principles (PBE-GGA) data for a geometry-optimized CdIrW structure, as listed in Alexandria.

Unit cell a=6.148 b=6.148 c=6.148 alpha=90.00 beta=90.00 gamma=90.00
Space group F-43m (No. 216)
Inequivalent atoms, fractional coordinates:
Cd 0.000 0.000 0.000 [4 per cell]
Ir 0.250 0.250 0.250 [4 per cell]
W 0.000 0.000 0.500 [4 per cell]

Values from the calculation:
Energy relative to the elements in eV/atom: 0.494
Relative energy among the computed polymorphs in eV/atom: 0.383
Total energy in eV per atom: -7.08


2.
First-principles (PBE-GGA) data for a geometry-optimized CdIrW structure, as listed in Alexandria.

Unit cell a=2.996 b=4.690 c=14.518 alpha=90.00 beta=90.00 gamma=90.00
Space group Fmm2 (No. 42)
Inequivalent atoms, fractional coordinates:
Cd 0.000 0.000 0.000 [4 per cell]
Ir 0.000 0.000 0.674 [4 per cell]
W 0.000 0.000 0.322 [4 per cell]

Values from the calculation:
Energy relative to the elements in eV/atom: 0.318
Relative energy among the computed polymorphs in eV/atom: 0.208
Total energy in eV per atom: -7.26


3.
First-principles (PBE-GGA) data for a geometry-optimized CdIrW2 structure, as listed in Alexandria.

Unit cell a=3.916 b=3.916 c=4.275 alpha=90.00 beta=90.00 gamma=90.00
Space group P4/mmm (No. 123)
Inequivalent atoms, fractional coordinates:
Cd 0.000 0.000 0.000 [1 per cell]
Ir 0.500 0.500 0.000 [1 per cell]
W 0.000 0.500 0.500 [2 per cell]

Values from the calculation:
Energy relative to the elements in eV/atom: 0.449
Total energy in eV per atom: -8.47


4.
First-principles (PBE-GGA) data for a geometry-optimized CdIr3W structure, as listed in Alexandria.

Unit cell a=4.707 b=4.707 c=4.707 alpha=90.00 beta=90.00 gamma=90.00
Space group Pm-3m (No. 221)
Inequivalent atoms, fractional coordinates:
Cd 0.000 0.000 0.000 [1 per cell]
Ir 0.000 0.000 0.500 [3 per cell]
W 0.500 0.500 0.500 [1 per cell]

Values from the calculation:
Energy relative to the elements in eV/atom: 2.735
Relative energy among the computed polymorphs in eV/atom: 1.330
Total energy in eV per atom: -5.35


5.
First-principles (PBE-GGA) data for a geometry-optimized CdIrW2 structure, as listed in Alexandria.

Unit cell a=2.793 b=2.793 c=8.461 alpha=90.00 beta=90.00 gamma=90.00
Space group P4/mmm (No. 123)
Inequivalent atoms, fractional coordinates:
Cd 0.000 0.000 0.000 [1 per cell]
Ir 0.000 0.000 0.500 [1 per cell]
W 0.500 0.500 0.270 [2 per cell]

Values from the calculation:
Energy relative to the elements in eV/atom: 0.222
Total energy in eV per atom: -8.70


6.
First-principles (PBE-GGA) data for a geometry-optimized CdIrW structure, as listed in Alexandria.

Unit cell a=2.876 b=2.876 c=12.259 alpha=90.00 beta=90.00 gamma=90.00
Space group I4mm (No. 107)
Inequivalent atoms, fractional coordinates:
Cd 0.000 0.000 0.000 [2 per cell]
Ir 0.000 0.000 0.677 [2 per cell]
W 0.000 0.000 0.315 [2 per cell]

Values from the calculation:
Energy relative to the elements in eV/atom: 0.110
Relative energy among the computed polymorphs in eV/atom: 0.000
Total energy in eV per atom: -7.47


7.
First-principles (PBE-GGA) data for a geometry-optimized CdIrW2 structure, as listed in Alexandria.

Unit cell a=4.064 b=4.064 c=7.951 alpha=90.00 beta=90.00 gamma=90.00
Space group I-4m2 (No. 119)
Inequivalent atoms, fractional coordinates:
Cd 0.000 0.000 0.000 [2 per cell]
Ir 0.000 0.500 0.750 [2 per cell]
W 0.000 0.000 0.500 [2 per cell]
W 0.000 0.500 0.250 [2 per cell]

Values from the calculation:
Energy relative to the elements in eV/atom: 0.437
Total energy in eV per atom: -8.48


8.
First-principles (PBE-GGA) data for a geometry-optimized CdIrW2 structure, as listed in Alexandria.

Unit cell a=9.822 b=2.932 c=4.736 alpha=90.00 beta=103.39 gamma=90.00
Space group C2/m (No. 12)
Inequivalent atoms, fractional coordinates:
Cd 0.000 0.000 0.000 [2 per cell]
Ir 0.000 0.500 0.500 [2 per cell]
W 0.238 0.000 0.730 [4 per cell]

Values from the calculation:
Energy relative to the elements in eV/atom: 0.340
Total energy in eV per atom: -8.58


9.
First-principles (PBE-GGA) data for a geometry-optimized CdIrW2 structure, as listed in Alexandria.

Unit cell a=2.959 b=4.814 c=9.607 alpha=90.00 beta=90.00 gamma=90.00
Space group Imm2 (No. 44)
Inequivalent atoms, fractional coordinates:
Cd 0.000 0.000 0.000 [2 per cell]
Ir 0.000 0.500 0.233 [2 per cell]
W 0.000 0.000 0.507 [2 per cell]
W 0.000 0.500 0.787 [2 per cell]

Values from the calculation:
Energy relative to the elements in eV/atom: 0.435
Total energy in eV per atom: -8.49


10.
First-principles (PBE-GGA) data for a geometry-optimized CdIrW2 structure, as listed in Alexandria.

Unit cell a=2.780 b=4.214 c=5.570 alpha=90.00 beta=90.00 gamma=90.00
Space group Pmmm (No. 47)
Inequivalent atoms, fractional coordinates:
Cd 0.000 0.000 0.000 [1 per cell]
Ir 0.000 0.000 0.500 [1 per cell]
W 0.500 0.500 0.264 [2 per cell]

Values from the calculation:
Energy relative to the elements in eV/atom: 0.303
Total energy in eV per atom: -8.62


11.
First-principles (PBE-GGA) data for a geometry-optimized CdIrW structure, as listed in Alexandria.

Unit cell a=2.856 b=3.867 c=9.193 alpha=90.00 beta=90.00 gamma=90.00
Space group Imm2 (No. 44)
Inequivalent atoms, fractional coordinates:
Cd 0.000 0.000 0.000 [2 per cell]
Ir 0.000 0.000 0.683 [2 per cell]
W 0.000 0.000 0.312 [2 per cell]

Values from the calculation:
Energy relative to the elements in eV/atom: 0.277
Relative energy among the computed polymorphs in eV/atom: 0.167
Total energy in eV per atom: -7.30


12.
First-principles (PBE-GGA) data for a geometry-optimized CdIrW2 structure, as listed in Alexandria.

Unit cell a=7.475 b=7.475 c=5.347 alpha=90.00 beta=90.00 gamma=90.00
Space group I-42d (No. 122)
Inequivalent atoms, fractional coordinates:
Cd 0.000 0.000 0.000 [4 per cell]
Ir 0.000 0.000 0.500 [4 per cell]
W 0.207 0.250 0.625 [8 per cell]

Values from the calculation:
Energy relative to the elements in eV/atom: 0.874
Total energy in eV per atom: -8.05


13.
First-principles (PBE-GGA) data for a geometry-optimized Cd3IrW structure, as listed in Alexandria.

Unit cell a=5.023 b=5.023 c=5.023 alpha=90.00 beta=90.00 gamma=90.00
Space group Pm-3m (No. 221)
Inequivalent atoms, fractional coordinates:
Cd 0.000 0.000 0.500 [3 per cell]
Ir 0.000 0.000 0.000 [1 per cell]
W 0.500 0.500 0.500 [1 per cell]

Values from the calculation:
Energy relative to the elements in eV/atom: 1.745
Total energy in eV per atom: -3.17


14.
First-principles (PBE-GGA) data for a geometry-optimized CdIrW2 structure, as listed in Alexandria.

Unit cell a=9.577 b=2.803 c=5.031 alpha=90.00 beta=100.37 gamma=90.00
Space group Cm (No. 8)
Inequivalent atoms, fractional coordinates:
Cd 0.000 0.000 0.000 [2 per cell]
Ir 0.239 0.000 0.736 [2 per cell]
W 0.013 0.500 0.506 [2 per cell]
W 0.265 0.500 0.275 [2 per cell]

Values from the calculation:
Energy relative to the elements in eV/atom: 0.334
Total energy in eV per atom: -8.59


15.
First-principles (PBE-GGA) data for a geometry-optimized CdIrW2 structure, as listed in Alexandria.

Unit cell a=2.814 b=2.814 c=8.443 alpha=90.00 beta=90.00 gamma=90.00
Space group P4mm (No. 99)
Inequivalent atoms, fractional coordinates:
Cd 0.000 0.000 0.000 [1 per cell]
Ir 0.500 0.500 0.260 [1 per cell]
W 0.000 0.000 0.468 [1 per cell]
W 0.500 0.500 0.726 [1 per cell]

Values from the calculation:
Energy relative to the elements in eV/atom: 0.161
Total energy in eV per atom: -8.76


16.
First-principles (PBE-GGA) data for a geometry-optimized CdIrW structure, as listed in Alexandria.

Unit cell a=6.174 b=6.174 c=6.174 alpha=90.00 beta=90.00 gamma=90.00
Space group F-43m (No. 216)
Inequivalent atoms, fractional coordinates:
Cd 0.000 0.000 0.000 [4 per cell]
Ir 0.000 0.000 0.500 [4 per cell]
W 0.250 0.250 0.750 [4 per cell]

Values from the calculation:
Energy relative to the elements in eV/atom: 0.824
Relative energy among the computed polymorphs in eV/atom: 0.714
Total energy in eV per atom: -6.75


17.
First-principles (PBE-GGA) data for a geometry-optimized CdIrW structure, as listed in Alexandria.

Unit cell a=2.8502 b=2.8502 c=7.1841 alpha=90.00 beta=90.00 gamma=120.00
Space group P3m1 (No. 156)
Inequivalent atoms, fractional coordinates:
Cd 0.0000 0.0000 0.0000 [1 per cell]
Ir 0.6667 0.3333 0.3507 [1 per cell]
W 0.3333 0.6667 0.6416 [1 per cell]

Values from the calculation:
Energy relative to the elements in eV/atom: 0.165
Relative energy among the computed polymorphs in eV/atom: 0.054
Total energy in eV per atom: -7.41


18.
First-principles (PBE-GGA) data for a geometry-optimized CdIrW2 structure, as listed in Alexandria.

Unit cell a=5.475 b=8.584 c=2.775 alpha=90.00 beta=90.00 gamma=90.00
Space group Cmmm (No. 65)
Inequivalent atoms, fractional coordinates:
Cd 0.000 0.000 0.000 [2 per cell]
Ir 0.000 0.500 0.000 [2 per cell]
W 0.250 0.250 0.500 [4 per cell]

Values from the calculation:
Energy relative to the elements in eV/atom: 0.379
Total energy in eV per atom: -8.54


19.
First-principles (PBE-GGA) data for a geometry-optimized CdIrW2 structure, as listed in Alexandria.

Unit cell a=4.874 b=4.874 c=2.794 alpha=90.00 beta=90.00 gamma=90.00
Space group P4/mmm (No. 123)
Inequivalent atoms, fractional coordinates:
Cd 0.000 0.000 0.000 [1 per cell]
Ir 0.500 0.500 0.000 [1 per cell]
W 0.000 0.500 0.500 [2 per cell]

Values from the calculation:
Energy relative to the elements in eV/atom: 0.677
Total energy in eV per atom: -8.24


20.
First-principles (PBE-GGA) data for a geometry-optimized CdIr3W structure, as listed in Alexandria.

Unit cell a=4.775 b=4.775 c=4.775 alpha=90.00 beta=90.00 gamma=90.00
Space group Pm-3m (No. 221)
Inequivalent atoms, fractional coordinates:
Cd 0.000 0.000 0.000 [1 per cell]
Ir 0.000 0.500 0.500 [3 per cell]
W 0.500 0.500 0.500 [1 per cell]

Values from the calculation:
Energy relative to the elements in eV/atom: 1.405
Relative energy among the computed polymorphs in eV/atom: 0.000
Total energy in eV per atom: -6.69